No. 1
This record from Alexandria describes an optimized crystal structure of LaAgAs. The functional is PBE.

Results
Final energy   -4.94 eV/atom
Calculated volume   72.9 Å³/cell
Formation enthalpy at 0 K   -800 meV/atom

a = 4.471 Å, b = 4.471 Å, c = 4.209 Å
α = 90.00°, β = 90.00°, γ = 120.00°
Atoms (fractional coordinates):
La1 0.000 0.000 0.000
Ag1 0.667 0.333 0.501
As1 0.333 0.667 0.499



No. 2
This record from Alexandria describes an optimized crystal structure of LaAg2As2. The functional is PBE.

Results
Final energy   -4.39 eV/atom
Distance to the lowest polymorph of the same formula   0.83 eV per formula unit
Calculated volume   113.4 Å³/cell
Formation enthalpy at 0 K   -403 meV/atom

a = 5.891 Å, b = 5.891 Å, c = 5.891 Å
α = 131.16°, β = 131.16°, γ = 71.56°
Atoms (fractional coordinates):
La1 0.000 0.000 0.000
Ag1 0.359 0.359 0.000
Ag2 0.641 0.641 0.000
As1 0.250 0.750 0.500
As2 0.750 0.250 0.500



No. 3
This record from Alexandria describes an optimized crystal structure of LaAgAs. The functional is PBE.

Results
Final energy   -4.69 eV/atom
Calculated volume   76.8 Å³/cell
Formation enthalpy at 0 K   -546 meV/atom

a = 5.376 Å, b = 5.376 Å, c = 5.376 Å
α = 134.91°, β = 134.91°, γ = 65.67°
Atoms (fractional coordinates):
La1 0.000 0.000 0.000
Ag1 0.670 0.670 0.000
As1 0.366 0.366 0.000



No. 4
This record from Alexandria describes an optimized crystal structure of La2Ag2As. The functional is PBE.

Results
Final energy   -4.26 eV/atom
Distance to the lowest polymorph of the same formula   1.61 eV per formula unit
Calculated volume   139.4 Å³/cell
Formation enthalpy at 0 K   -214 meV/atom

a = 5.768 Å, b = 5.768 Å, c = 5.768 Å
α = 118.09°, β = 118.09°, γ = 93.35°
Atoms (fractional coordinates):
La1 0.250 0.750 0.500
La2 0.750 0.250 0.500
Ag1 0.161 0.161 0.000
Ag2 0.839 0.839 0.000
As1 0.500 0.500 0.000



No. 5
This record from Alexandria describes an optimized crystal structure of La3AgAs. The functional is PBE.

Results
Final energy   -4.75 eV/atom
Distance to the lowest polymorph of the same formula   0.00 eV per formula unit
Calculated volume   186.9 Å³/cell
Formation enthalpy at 0 K   -294 meV/atom

a = 5.717 Å, b = 5.717 Å, c = 5.717 Å
α = 90.00°, β = 90.00°, γ = 90.00°
Atoms (fractional coordinates):
La1 0.000 0.000 0.500
La2 0.000 0.500 0.000
La3 0.500 0.000 0.000
Ag1 0.500 0.500 0.500
As1 0.000 0.000 0.000



No. 6
This record from Alexandria describes an optimized crystal structure of LaAgAs2O8. The functional is PBE.

Results
Final energy   -6.08 eV/atom
Formation energy without anion corrections   -1567 kJ/mol of formula units
Calculated volume   180.5 Å³/cell

a = 6.182 Å, b = 6.182 Å, c = 6.182 Å
α = 106.75°, β = 106.75°, γ = 115.07°
Atoms (fractional coordinates):
La1 0.000 0.000 0.000
Ag1 0.250 0.750 0.500
As1 0.500 0.500 0.000
As2 0.750 0.250 0.500
O1 0.329 0.152 0.823
O2 0.329 0.505 0.177
O3 0.405 0.084 0.322
O4 0.495 0.671 0.823
O5 0.762 0.084 0.678
O6 0.848 0.671 0.177
O7 0.916 0.238 0.322
O8 0.916 0.595 0.678